K2RbTcP: relaxed, PBEsol.

POSCAR file:
```
K2RbTcP
1.0
4.551 0.000 0.000
0.000 6.233 0.000
0.000 0.000 6.233
P K Tc Rb
1 2 1 1
Direct
0.500 0.000 0.000
0.000 0.000 0.500
0.000 0.500 0.000
0.000 0.000 0.000
0.500 0.500 0.500
```

## Properties
SG: P4/mmm, No. 123
Energy of formation in eV per atom: 0.4609



CaCrTc2: relaxed, PBEsol.

POSCAR file:
```
CaCrTc2
1.0
2.716 -0.008 0.000
-0.919 2.555 0.000
0.000 0.000 9.022
Cr Ca Tc
1 1 2
Direct
0.500 0.500 0.213
0.000 0.000 0.496
0.000 0.000 0.012
0.500 0.500 0.779
```

## Properties
SG: Cmm2, No. 35
Energy relative to the lowest polymorph listed for this composition in meV/atom: 0
Energy of formation in eV per atom: 0.6480



TePH3: relaxed, PBEsol.

POSCAR file:
```
TePH3
1.0
3.656 0.000 0.000
0.000 3.656 0.000
0.000 0.000 3.656
P Te H
1 1 3
Direct
0.000 0.000 0.000
0.500 0.500 0.500
0.000 0.500 0.000
0.000 0.000 0.500
0.500 0.000 0.000
```

## Properties
SG: Pm-3m, No. 221
Total DFT energy (no corrections) in eV per cell: -15.9



Li2BPtRh: relaxed, PBEsol.

POSCAR file:
```
Li2BPtRh
1.0
-3.820 -0.062 0.518
0.207 -3.863 1.065
0.502 1.083 3.831
B Rh Pt Li
1 1 1 2
Direct
0.000 0.000 0.000
0.500 0.000 0.000
0.500 0.500 0.500
0.000 0.000 0.500
0.000 0.500 0.000
```

## Properties
SG: P4/mmm, No. 123
Energy of formation in eV per atom: 0.1105